(1)
Here is an optimized crystal structure of Ba2NiB2S6 from Alexandria. Energies are from PBE-GGA.

Lattice parameters (Å, degrees): 6.4342 6.4342 19.4219 90.00 90.00 120.00
Space group R-3m (No. 166, hexagonal axes)
Inequivalent atoms, fractional coordinates:
Ba: 0.0000 0.0000 0.2309
Ni: 0.0000 0.0000 0.0000
B: 0.0000 0.0000 0.4068
S: 0.0049 0.5025 0.2538

M_tot: 0.375 μB per formula unit
DFT total energy: -173.8 eV/cell

=====

(2)
Here is an optimized crystal structure of Ba2TcNiB from Alexandria. Energies are from PBE-GGA.

Lattice parameters (Å, degrees): 5.8042 5.8042 4.0394 90.00 90.00 90.00
Space group P4/mmm (No. 123)
Inequivalent atoms, fractional coordinates:
Ba: 0.0000 0.5000 0.0000
Tc: 0.0000 0.0000 0.0000
Ni: 0.5000 0.5000 0.5000
B: 0.0000 0.0000 0.5000

M_tot: 0.283 μB per formula unit
Energy of formation from the pure elements: 3.9 eV/f.u.

=====

(3)
Here is an optimized crystal structure of BaNpBO6 from Alexandria. Energies are from PBE-GGA.

Lattice parameters (Å, degrees): 4.7980 9.8741 5.7328 90.00 95.58 90.00
Space group C2 (No. 5)
Inequivalent atoms, fractional coordinates:
Ba: 0.0000 0.0000 0.0000
Np: 0.0000 0.7251 0.5000
B: 0.0000 0.4478 0.5000
O: 0.1481 0.5431 0.3461
O: 0.2163 0.3672 0.6374
O: 0.2198 0.7394 0.7832

M_tot: 0.000 μB per formula unit
DFT total energy: -149.8 eV/cell

=====

(4)
Here is an optimized crystal structure of BaNpBO5 from Alexandria. Energies are from PBE-GGA.

Lattice parameters (Å, degrees): 6.9398 9.2829 7.7746 90.00 112.99 90.00
Space group C2/c (No. 15)
Inequivalent atoms, fractional coordinates:
Ba: 0.0000 0.1534 0.2500
Np: 0.0000 0.5000 0.0000
B: 0.0000 0.1903 0.7500
O: 0.0000 0.4283 0.2500
O: 0.0772 0.2879 0.6288
O: 0.1761 0.0956 0.8762

M_tot: 2.000 μB per formula unit
DFT total energy: -270.4 eV/cell

=====

(5)
Here is an optimized crystal structure of Ba4BO7 from Alexandria. Energies are from PBE-GGA.

Lattice parameters (Å, degrees): 13.7402 4.8882 9.5005 90.00 131.32 90.00
Space group C2/m (No. 12)
Inequivalent atoms, fractional coordinates:
Ba: 0.0937 0.0000 0.3842
Ba: 0.2475 0.0000 0.1457
B: 0.0000 0.5000 0.0000
O: 0.0000 0.0000 0.0000
O: 0.0708 0.5000 0.9569
O: 0.1359 0.0000 0.7523
O: 0.1921 0.5000 0.5356

M_tot: 3.005 μB per formula unit
DFT total energy: -146.5 eV/cell

=====

(6)
Here is an optimized crystal structure of BaB4O7 from Alexandria. Energies are from PBE-GGA.

Lattice parameters (Å, degrees): 11.0626 4.5627 4.3476 90.00 90.00 90.00
Space group Pmn2_1 (No. 31)
Inequivalent atoms, fractional coordinates:
Ba: 0.0000 0.2209 0.0000
B: 0.1233 0.6752 0.5289
B: 0.2482 0.8224 0.9989
O: 0.0000 0.7505 0.4285
O: 0.1381 0.7370 0.8555
O: 0.1486 0.3662 0.4651
O: 0.2164 0.8776 0.3521

M_tot: 0.000 μB per formula unit
ΔE to the lowest computed polymorph: 30 meV per atom